DFT (GGA-PBE) results for MgOs2Pt after structural relaxation.

```
MgOs2Pt
1.0
2.731 0.000 0.000
0.000 2.731 0.000
0.000 0.000 8.217
Mg Os Pt
1 2 1
Direct
0.000 0.000 0.000
0.500 0.500 0.259
0.500 0.500 0.741
0.000 0.000 0.500
```

Results
Fermi-level density of states (states/eV per atom): 1.282
M_tot (μB per atom): 0.000
Volume (Å³ per cell): 61
ΔE_f (eV per atom): 0.289
Symmetry: P4/mmm, No. 123